(1)
First-principles (GGA-PBE) data for a geometry-optimized AgSnB structure, as listed in the Alexandria database.

```
data_AgSnB
_chemical_formula_sum 'Ag2 Sn2 B2'
_cell_length_a 4.0763
_cell_length_b 4.0763
_cell_length_c 8.4252
_cell_angle_alpha 90.00
_cell_angle_beta 90.00
_cell_angle_gamma 120.00
_symmetry_space_group_name_H-M 'P 63/m m c'
_symmetry_Int_Tables_number 194
_symmetry_space_group_name_Hall '-P 6c 2c'
loop_
_atom_site_label
_atom_site_type_symbol
_atom_site_fract_x
_atom_site_fract_y
_atom_site_fract_z
_atom_site_occupancy
Ag1 Ag 0.3333 0.6667 0.2500 1
Sn1 Sn 0.0000 0.0000 0.0000 1
B1 B 0.0000 0.0000 0.2500 1
```

Output
Its formation energy is 87 kJ/mol of atoms.

***

(2)
First-principles (GGA-PBE) data for a geometry-optimized KCaRuS2 structure, as listed in the Alexandria database.

```
data_KCaRuS2
_chemical_formula_sum 'K1 Ca1 Ru1 S2'
_cell_length_a 4.908
_cell_length_b 4.908
_cell_length_c 4.860
_cell_angle_alpha 90.00
_cell_angle_beta 90.00
_cell_angle_gamma 90.00
_symmetry_space_group_name_H-M 'P 4/m m m'
_symmetry_Int_Tables_number 123
_symmetry_space_group_name_Hall '-P 4 2'
loop_
_atom_site_label
_atom_site_type_symbol
_atom_site_fract_x
_atom_site_fract_y
_atom_site_fract_z
_atom_site_occupancy
K1 K 0.000 0.000 0.000 1
Ca1 Ca 0.500 0.500 0.000 1
Ru1 Ru 0.000 0.000 0.500 1
S1 S 0.000 0.500 0.500 1
```

Output
The raw formation energy comes out at -0.0062 eV per atom.

***

(3)
First-principles (GGA-PBE) data for a geometry-optimized Er3NiRh structure, as listed in the Alexandria database.

```
data_Er3NiRh
_chemical_formula_sum 'Er6 Ni2 Rh2'
_cell_length_a 3.890
_cell_length_b 6.834
_cell_length_c 8.681
_cell_angle_alpha 90.00
_cell_angle_beta 90.00
_cell_angle_gamma 90.00
_symmetry_space_group_name_H-M 'P m m n'
_symmetry_Int_Tables_number 59
loop_
_symmetry_equiv_pos_as_xyz
'x,y,z'
'-x,-y,-z'
'-x+1/2,-y+1/2,z'
'x+1/2,y+1/2,-z'
'x+1/2,-y,-z'
'-x+1/2,y,z'
'-x,y+1/2,-z'
'x,-y+1/2,z'
loop_
_atom_site_label
_atom_site_type_symbol
_atom_site_fract_x
_atom_site_fract_y
_atom_site_fract_z
_atom_site_occupancy
Er1 Er 0.250 0.011 0.170 1
Er2 Er 0.250 0.250 0.550 1
Ni1 Ni 0.250 0.250 0.900 1
Rh1 Rh 0.250 0.750 0.669 1
```

Output
Its formation energy is -49 kJ/mol of atoms.

***

(4)
First-principles (GGA-PBE) data for a geometry-optimized AgWAu structure, as listed in the Alexandria database.

```
data_AgWAu
_chemical_formula_sum 'Ag1 W1 Au1'
_cell_length_a 2.8528
_cell_length_b 2.8528
_cell_length_c 7.2721
_cell_angle_alpha 90.00
_cell_angle_beta 90.00
_cell_angle_gamma 120.00
_symmetry_space_group_name_H-M 'P 3 m 1'
_symmetry_Int_Tables_number 156
loop_
_symmetry_equiv_pos_as_xyz
'x,y,z'
'-y,x-y,z'
'-x+y,-x,z'
'-y,-x,z'
'-x+y,y,z'
'x,x-y,z'
loop_
_atom_site_label
_atom_site_type_symbol
_atom_site_fract_x
_atom_site_fract_y
_atom_site_fract_z
_atom_site_occupancy
Ag1 Ag 0.0000 0.0000 0.0000 1
W1 W 0.3333 0.6667 0.6660 1
Au1 Au 0.6667 0.3333 0.3421 1
```

Output
Its formation energy is 39 kJ/mol of atoms. The value obtained for the energy relative to the lowest polymorph listed for this composition is 0.0000 eV per atom.

***

(5)
First-principles (GGA-PBE) data for a geometry-optimized Cs2PmPaS4 structure, as listed in the Alexandria database.

```
data_Cs2PmPaS4
_chemical_formula_sum 'Cs2 Pm1 Pa1 S4'
_cell_length_a 7.193
_cell_length_b 4.135
_cell_length_c 8.469
_cell_angle_alpha 90.00
_cell_angle_beta 106.27
_cell_angle_gamma 90.00
_symmetry_space_group_name_H-M 'P 1 2/m 1'
_symmetry_Int_Tables_number 10
loop_
_symmetry_equiv_pos_as_xyz
'x,y,z'
'-x,-y,-z'
'-x,y,-z'
'x,-y,z'
loop_
_atom_site_label
_atom_site_type_symbol
_atom_site_fract_x
_atom_site_fract_y
_atom_site_fract_z
_atom_site_occupancy
Cs1 Cs 0.000 0.000 0.000 1
Cs2 Cs 0.500 0.500 0.000 1
Pm1 Pm 0.000 0.500 0.500 1
Pa1 Pa 0.500 0.000 0.500 1
S1 S 0.238 0.000 0.686 1
S2 S 0.279 0.500 0.315 1
```

Output
The raw formation energy comes out at -1.6125 eV per atom.

***

(6)
First-principles (GGA-PBE) data for a geometry-optimized Li3Ga5Cl12 structure, as listed in the Alexandria database.

```
data_Li3Ga5Cl12
_chemical_formula_sum 'Li24 Ga40 Cl96'
_cell_length_a 16.426
_cell_length_b 16.426
_cell_length_c 16.426
_cell_angle_alpha 90.00
_cell_angle_beta 90.00
_cell_angle_gamma 90.00
_symmetry_space_group_name_H-M 'I a -3 d'
_symmetry_Int_Tables_number 230
_symmetry_space_group_name_Hall '-I 4bd 2c 3'
loop_
_atom_site_label
_atom_site_type_symbol
_atom_site_fract_x
_atom_site_fract_y
_atom_site_fract_z
_atom_site_occupancy
Li1 Li 0.000 0.250 0.125 1
Ga1 Ga 0.000 0.000 0.000 1
Ga2 Ga 0.000 0.250 0.375 1
Cl1 Cl 0.030 0.063 0.663 1
```

Output
The raw formation energy comes out at -0.9855 eV per atom.

***

Repeat the sixth record exactly.
First-principles (GGA-PBE) data for a geometry-optimized Li3Ga5Cl12 structure, as listed in the Alexandria database.

```
data_Li3Ga5Cl12
_chemical_formula_sum 'Li24 Ga40 Cl96'
_cell_length_a 16.426
_cell_length_b 16.426
_cell_length_c 16.426
_cell_angle_alpha 90.00
_cell_angle_beta 90.00
_cell_angle_gamma 90.00
_symmetry_space_group_name_H-M 'I a -3 d'
_symmetry_Int_Tables_number 230
_symmetry_space_group_name_Hall '-I 4bd 2c 3'
loop_
_atom_site_label
_atom_site_type_symbol
_atom_site_fract_x
_atom_site_fract_y
_atom_site_fract_z
_atom_site_occupancy
Li1 Li 0.000 0.250 0.125 1
Ga1 Ga 0.000 0.000 0.000 1
Ga2 Ga 0.000 0.250 0.375 1
Cl1 Cl 0.030 0.063 0.663 1
```

Output
The raw formation energy comes out at -0.9855 eV per atom.